[1]
8
Lattice="3.637 0.000 0.000 0.000 6.876 0.110 0.000 -2.063 6.560" Properties=species:S:1:pos:R:3 comment="Na3TiS4 PBE optimized geometry" m_tot_mub_per_fu=0.3 total_energy_ev_per_atom=-4.58 n_ef_per_ev_atom=0.940 raw_formation_energy_ev_per_atom=-1.030 space_group="No. 65" pbc="T T T"
Na 0.000 3.438 0.055
S 1.818 -0.102 5.146
S 0.000 3.819 5.293
Na 1.818 2.407 3.335
Ti 1.818 0.000 0.000
S 0.000 0.994 1.378
S 1.818 4.916 1.525
Na 0.000 -1.032 3.280

=====

[2]
5
Lattice="4.733 0.000 0.000 0.000 4.733 0.000 0.000 0.000 4.733" Properties=species:S:1:pos:R:3 comment="Pd3RhW PBE optimized geometry" m_tot_mub_per_fu=0.0 polymorph_energy_mev_per_atom=0 total_energy_ev_per_atom=-5.72 formation_energy_ev_per_atom=1.452 n_ef_per_ev_atom=1.297 space_group="No. 221" pbc="T T T"
Pd 2.367 0.000 0.000
Pd 0.000 0.000 2.367
Rh 2.367 2.367 2.367
W 0.000 0.000 0.000
Pd 0.000 2.367 0.000

=====

[3]
4
Lattice="1.531 1.183 -2.817 -2.828 -1.800 -0.664 -5.278 8.096 0.532" Properties=species:S:1:pos:R:3 comment="HgTe2P PBE optimized geometry" m_tot_mub_per_fu=0.0 polymorph_energy_mev_per_atom=281 total_energy_ev_per_atom=-2.59 n_ef_per_ev_atom=0.587 raw_formation_energy_ev_per_atom=0.407 space_group="No. 35" pbc="T T T"
Hg -2.464 3.780 0.249
Te -4.499 5.598 -1.352
P -1.956 1.697 -1.609
Te -0.295 0.453 0.030

=====

[4]
12
Lattice="4.225 0.000 0.000 0.000 4.402 0.000 -2.113 -2.202 9.681" Properties=species:S:1:pos:R:3 comment="BaPu2Zn2O7 PBE optimized geometry" m_tot_mub_per_fu=7.9 total_energy_ev_per_atom=-8.00 n_ef_per_ev_atom=0.681 raw_formation_energy_ev_per_atom=-2.346 space_group="No. 44" pbc="T T T"
Ba 0.000 4.400 0.000
O 2.112 -0.001 7.732
O 2.113 2.205 0.000
O 0.000 0.000 5.084
O 2.112 0.000 2.367
O 2.113 2.201 4.596
Zn 2.113 0.000 4.484
Pu 0.000 -0.001 7.464
Zn 0.000 2.200 5.197
Pu 2.112 2.201 2.217
O 0.000 2.200 1.950
O 0.000 2.200 7.314

=====

[5]
10
Lattice="6.035 0.000 0.000 0.000 6.035 0.000 0.000 0.000 5.011" Properties=species:S:1:pos:R:3 comment="Ag2Hg2H PBE optimized geometry" m_tot_mub_per_fu=0.0 polymorph_energy_mev_per_atom=175 total_energy_ev_per_atom=-1.55 n_ef_per_ev_atom=0.289 space_group="No. 127" pbc="T T T"
Hg 1.047 1.970 0.000
Hg 1.970 4.988 0.000
Ag 0.983 4.000 2.505
H 0.000 0.000 0.000
Ag 4.000 5.053 2.505
Hg 4.988 4.065 0.000
H 3.018 3.018 0.000
Ag 5.053 2.035 2.505
Ag 2.035 0.983 2.505
Hg 4.065 1.047 0.000

=====

[6]
4
Lattice="-0.300 2.691 0.214 -1.832 -0.045 -2.005 -4.922 -0.908 4.518" Properties=species:S:1:pos:R:3 comment="MoHPd2 PBE optimized geometry" m_tot_mub_per_fu=0.0 polymorph_energy_mev_per_atom=148 total_energy_ev_per_atom=-6.00 n_ef_per_ev_atom=0.955 space_group="No. 123" pbc="T T T"
H -1.066 1.323 -0.895
Mo -3.527 0.869 1.364
Pd -3.938 -0.726 3.615
Pd -0.984 -0.181 0.903

=====

[7]
14
Lattice="-2.726 4.379 4.236 -4.173 -4.221 1.677 5.483 -3.851 3.951" Properties=species:S:1:pos:R:3 comment="U2NiSe4 PBE optimized geometry" m_tot_mub_per_fu=4.3 total_energy_ev_per_atom=-6.96 n_ef_per_ev_atom=1.605 raw_formation_energy_ev_per_atom=-0.914 space_group="No. 11" pbc="T T T"
Ni 1.374 -0.921 6.773
Se -1.354 -4.936 6.648
Ni -2.791 -2.772 3.091
Se 0.643 -2.916 5.846
Se -0.063 1.243 3.215
Se -2.059 -0.777 4.018
Se -1.139 -4.395 3.117
Se -0.278 0.702 6.747
Se 1.533 -6.261 5.069
U 3.429 -3.573 5.213
U -2.070 -2.081 6.625
U 0.653 -1.612 3.239
Se -2.949 2.568 4.795
U -4.846 -0.121 4.651

=====

[8]
8
Lattice="-4.986 3.116 2.992 -3.642 -5.490 -0.352 2.323 -1.918 5.869" Properties=species:S:1:pos:R:3 comment="KAl PBE optimized geometry" m_tot_mub_per_fu=0.0 polymorph_energy_mev_per_atom=471 total_energy_ev_per_atom=-1.83 formation_energy_ev_per_atom=0.589 n_ef_per_ev_atom=0.630 space_group="No. 198" pbc="T T T"
K -2.324 -2.150 6.960
K -5.735 -1.194 4.915
Al -3.441 1.055 6.191
K -3.981 -4.849 4.371
K -0.572 -0.389 0.771
Al -2.492 -1.696 3.363
Al -6.033 -3.231 2.108
Al -0.645 -4.710 5.355